MgPb5 | GGA-PBE | relaxed

Cell: 5.686 9.376 9.376 Å, 21.10 90.00 90.00°
Positions (direct):
Mg1 0.000 0.000 0.000
Pb1 0.000 0.342 0.342
Pb2 0.000 0.659 0.659
Pb3 0.500 0.221 0.221
Pb4 0.500 0.550 0.550
Pb5 0.500 0.889 0.889

space-group type = Amm2 (38)
volume = 30.0 Å³/atom
density = 9.78 g cm⁻³
formation energy = 2.7 meV/atom
offset from the most stable computed form = 0.016 eV per atom
energy = -3.353 eV per atom

MgPb | GGA-PBE | relaxed

Cell: 3.349 4.492 7.443 Å, 90.00 102.00 90.00°
Positions (direct):
Mg1 0.197 0.250 0.383
Mg2 0.803 0.750 0.617
Pb1 0.401 0.250 0.827
Pb2 0.599 0.750 0.173

space-group type = P2_1/m (11)
volume = 27.4 Å³/atom
density = 7.02 g cm⁻³
formation energy = -14.4 meV/atom
energy = -2.666 eV per atom

Mg4Pb3 | GGA-PBE | relaxed

Cell: 6.498 6.498 5.451 Å, 90.00 90.00 120.00°
Positions (direct):
Mg1 0.000 0.000 0.248
Mg2 0.000 0.000 0.752
Mg3 0.333 0.667 0.000
Mg4 0.667 0.333 0.000
Pb1 0.000 0.500 0.500
Pb2 0.500 0.000 0.500
Pb3 0.500 0.500 0.500

space-group type = P6/mmm (191)
volume = 28.5 Å³/atom
density = 5.99 g cm⁻³
formation energy = 124.0 meV/atom
offset from the most stable computed form = 0.179 eV per atom
energy = -2.377 eV per atom

What did the first record say?
MgPb5 | GGA-PBE | relaxed

Cell: 5.686 9.376 9.376 Å, 21.10 90.00 90.00°
Positions (direct):
Mg1 0.000 0.000 0.000
Pb1 0.000 0.342 0.342
Pb2 0.000 0.659 0.659
Pb3 0.500 0.221 0.221
Pb4 0.500 0.550 0.550
Pb5 0.500 0.889 0.889

space-group type = Amm2 (38)
volume = 30.0 Å³/atom
density = 9.78 g cm⁻³
formation energy = 2.7 meV/atom
offset from the most stable computed form = 0.016 eV per atom
energy = -3.353 eV per atom